# 1
The following is a PBE-GGA calculation of a geometry-optimized BaMg2Pt structure, from Alexandria via LeMat-Bulk.

Structure (POSCAR):
```
BaMg2Pt
1.0
5.389 -0.037 0.000
1.067 5.282 0.000
-3.228 -2.623 3.427
Pt Mg Ba
1 2 1
direct
0.250 0.750 0.500
0.500 0.500 0.000
0.000 0.000 0.000
0.750 0.250 0.500
```

The value obtained for the calculated formation energy is -0.157 eV/atom. As for the crystal system: tetragonal.

# 2
The following is a PBE-GGA calculation of a geometry-optimized MgMn2Se structure, from Alexandria via LeMat-Bulk.

Structure (POSCAR):
```
MgMn2Se
1.0
-0.999 -1.301 -4.284
2.876 -2.740 -2.295
-1.173 -4.350 -0.861
Se Mn Mg
1 2 1
direct
0.750 0.750 0.750
0.000 0.000 0.000
0.250 0.250 0.250
0.500 0.500 0.500
```

The calculation puts the uncorrected formation energy at 0.28 eV/atom. For the energy above the most stable polymorph in this dataset, the calculation gives 259 meV per atom. As for the crystal system: cubic.

# 3
The following is a PBE-GGA calculation of a geometry-optimized NaAg2Hg6 structure, from Alexandria via LeMat-Bulk.

Structure (POSCAR):
```
NaAg2Hg6
1.0
-3.418 3.231 -4.084
2.583 -4.521 -4.192
-2.547 -6.077 -1.129
Ag Hg Na
2 6 1
direct
0.115 0.410 0.410
0.885 0.590 0.590
0.747 0.032 0.526
0.500 0.240 0.760
0.500 0.760 0.240
0.253 0.968 0.474
0.253 0.474 0.968
0.747 0.526 0.032
0.000 0.000 0.000
```

The value obtained for the calculated formation energy is -0.018 eV/atom. As for the crystal system: monoclinic.

# 4
The following is a PBE-GGA calculation of a geometry-optimized Tb3Er3Th2 structure, from Alexandria via LeMat-Bulk.

Structure (POSCAR):
```
Tb3Er3Th2
1.0
-4.561 -1.661 -1.268
0.994 -4.404 2.193
-1.905 6.530 8.224
Th Tb Er
2 3 3
direct
0.250 0.750 0.500
0.750 0.250 0.500
0.500 0.000 0.000
0.627 0.627 0.254
0.373 0.373 0.746
0.000 0.500 0.000
0.873 0.873 0.747
0.127 0.127 0.253
```

The value obtained for the calculated formation energy is 0.023 eV/atom. For the energy above the most stable polymorph in this dataset, the calculation gives 0 meV per atom. As for the crystal system: orthorhombic.